Entry 1:
VASP calculation (PBE-GGA) on a geometry-optimized NpGePRh2 structure.

```
NpGePRh2
1.0
4.018 0.000 0.000
0.000 4.018 0.000
0.000 0.000 6.455
Np Ge P Rh
1 1 1 2
direct
0.000 0.000 0.000
0.500 0.500 0.176
0.000 0.000 0.583
0.000 0.500 0.411
0.500 0.000 0.411
```

Properties
formation energy from the elements = -361 meV/atom
SG = P4mm (99)

Entry 2:
VASP calculation (PBE-GGA) on a geometry-optimized TbSc2Hg8 structure.

```
TbSc2Hg8
1.0
-2.427 3.742 7.117
2.427 -3.742 7.117
2.427 3.742 -7.117
Tb Sc Hg
1 2 8
direct
0.000 0.000 0.000
0.311 0.311 0.000
0.689 0.689 0.000
0.132 0.847 0.285
0.158 0.658 0.500
0.299 0.500 0.799
0.438 0.153 0.285
0.562 0.847 0.715
0.701 0.500 0.201
0.842 0.342 0.500
0.868 0.153 0.715
```

Properties
formation energy from the elements = -234 meV/atom
SG = Immm (71)

Entry 3:
VASP calculation (PBE-GGA) on a geometry-optimized Lu2NiTe structure.

```
Lu2NiTe
1.0
3.714 0.000 0.000
-1.857 3.216 0.000
0.000 0.000 27.569
Lu Ni Te
6 3 3
direct
0.000 0.000 0.090
0.000 0.000 0.910
0.333 0.667 0.577
0.333 0.667 0.757
0.667 0.333 0.243
0.667 0.333 0.423
0.000 0.000 0.000
0.333 0.667 0.667
0.667 0.333 0.333
0.000 0.000 0.500
0.333 0.667 0.167
0.667 0.333 0.833
```

Properties
formation energy from raw total energies = 10.0 kJ/mol of atoms
SG = R-3m (166)

Entry 4:
VASP calculation (PBE-GGA) on a geometry-optimized CaAl3F structure.

```
CaAl3F
1.0
5.887 0.000 0.000
0.000 5.887 0.000
0.000 0.000 5.887
Ca Al F
1 3 1
direct
0.000 0.000 0.000
0.000 0.000 0.500
0.000 0.500 0.000
0.500 0.000 0.000
0.500 0.500 0.500
```

Properties
formation energy from raw total energies = 86.9 kJ/mol of atoms
SG = Pm-3m (221)

Entry 5:
VASP calculation (PBE-GGA) on a geometry-optimized ZrCuTcRu2 structure.

```
ZrCuTcRu2
1.0
4.437 0.000 0.000
0.000 4.437 0.000
0.000 0.000 4.598
Zr Cu Tc Ru
1 1 1 2
direct
0.000 0.000 0.000
0.000 0.000 0.500
0.500 0.500 0.000
0.000 0.500 0.500
0.500 0.000 0.500
```

Properties
formation energy from the elements = 1304 meV/atom
SG = P4/mmm (123)

Entry 6:
VASP calculation (PBE-GGA) on a geometry-optimized Ti4SnHAu structure.

```
Ti4SnHAu
1.0
2.743 -7.366 0.000
2.743 7.366 0.000
0.000 0.000 5.555
Ti Sn H Au
8 2 2 2
direct
0.000 0.500 0.000
0.000 0.500 0.500
0.066 0.934 0.750
0.420 0.580 0.750
0.500 0.000 0.000
0.500 0.000 0.500
0.580 0.420 0.250
0.934 0.066 0.250
0.392 0.608 0.250
0.608 0.392 0.750
0.285 0.715 0.750
0.715 0.285 0.250
0.113 0.887 0.250
0.887 0.113 0.750
```

Properties
SG = Cmcm (63)

Entry 7:
VASP calculation (PBE-GGA) on a geometry-optimized Na2LiPuF6 structure.

```
Na2LiPuF6
1.0
5.667 0.000 0.000
0.000 5.713 0.000
-4.607 0.000 8.869
Na Li Pu F
4 2 2 12
direct
0.189 0.054 0.237
0.189 0.446 0.737
0.811 0.554 0.263
0.811 0.946 0.763
0.000 0.000 0.500
0.000 0.500 0.000
0.500 0.000 0.000
0.500 0.500 0.500
0.118 0.220 0.930
0.118 0.280 0.430
0.187 0.705 0.912
0.187 0.795 0.412
0.422 0.093 0.762
0.422 0.407 0.262
0.578 0.593 0.738
0.578 0.907 0.238
0.813 0.205 0.588
0.813 0.295 0.088
0.882 0.720 0.570
0.882 0.780 0.070
```

Properties
formation energy from raw total energies = -296.7 kJ/mol of atoms
SG = P2_1/c (14)

Entry 8:
VASP calculation (PBE-GGA) on a geometry-optimized CoAgN structure.

```
CoAgN
1.0
2.775 0.000 0.000
0.000 10.341 0.000
0.000 0.000 5.075
Co Ag N
4 4 4
direct
0.000 0.000 0.000
0.000 0.000 0.500
0.500 0.500 0.000
0.500 0.500 0.500
0.000 0.241 0.250
0.000 0.759 0.750
0.500 0.259 0.750
0.500 0.741 0.250
0.000 0.459 0.250
0.000 0.541 0.750
0.500 0.041 0.750
0.500 0.959 0.250
```

Properties
formation energy from raw total energies = 39.6 kJ/mol of atoms
SG = Cmcm (63)

Entry 9:
VASP calculation (PBE-GGA) on a geometry-optimized TaTe2P structure.

```
TaTe2P
1.0
3.437 0.000 0.000
0.000 4.806 0.000
0.000 0.000 13.498
Ta Te P
2 4 2
direct
0.000 0.000 0.000
0.500 0.500 0.500
0.000 0.000 0.450
0.000 0.500 0.664
0.500 0.000 0.164
0.500 0.500 0.950
0.000 0.500 0.360
0.500 0.000 0.860
```

Properties
formation energy from raw total energies = 15.9 kJ/mol of atoms
SG = Imm2 (44)

Entry 10:
VASP calculation (PBE-GGA) on a geometry-optimized PuAl4Cu2Ir structure.

```
PuAl4Cu2Ir
1.0
2.097 1.211 8.870
-2.097 1.211 8.870
0.000 -2.421 8.870
Pu Al Cu Ir
1 4 2 1
direct
0.000 0.000 0.000
0.132 0.132 0.132
0.404 0.404 0.404
0.596 0.596 0.596
0.868 0.868 0.868
0.237 0.237 0.237
0.763 0.763 0.763
0.500 0.500 0.500
```

Properties
formation energy from the elements = -330 meV/atom
SG = R-3m (166)

Entry 11:
VASP calculation (PBE-GGA) on a geometry-optimized MgSb2TeF structure.

```
MgSb2TeF
1.0
5.345 0.000 0.000
0.000 5.345 0.000
0.000 0.000 5.272
Mg Sb Te F
1 2 1 1
direct
0.000 0.000 0.000
0.000 0.500 0.000
0.500 0.000 0.000
0.000 0.000 0.500
0.500 0.500 0.500
```

Properties
formation energy from raw total energies = 19.3 kJ/mol of atoms
SG = P4/mmm (123)

Entry 12:
VASP calculation (PBE-GGA) on a geometry-optimized ZnCrAu2 structure.

```
ZnCrAu2
1.0
3.948 0.000 0.000
0.000 3.948 0.000
0.000 0.000 18.880
Zn Cr Au
4 4 8
direct
0.000 0.000 0.000
0.000 0.500 0.250
0.500 0.000 0.750
0.500 0.500 0.500
0.000 0.000 0.500
0.000 0.500 0.750
0.500 0.000 0.250
0.500 0.500 0.000
0.246 0.250 0.125
0.250 0.746 0.375
0.250 0.754 0.875
0.254 0.250 0.625
0.746 0.750 0.625
0.750 0.246 0.875
0.750 0.254 0.375
0.754 0.750 0.125
```

Properties
formation energy from the elements = 254 meV/atom
SG = I-42d (122)

Quick rundown of VASP energy, same order as above: -7.90; -2.03; -4.39; -2.12; -7.01; -6.33; -6.09; -5.68; -5.72; -6.12; -2.77; -4.11 eV per atom